*A*
CaMg5Tl6: relaxed, PBE.

Cell lengths 6.1340, 9.9543, 7.2265 Å; angles 46.47, 82.99, 79.79 degrees
Fractional coordinates of all 12 atoms:
Tl1 0.7526 0.0845 0.3417
Mg1 0.5000 0.1757 0.6487
Tl2 0.7526 0.4262 0.6583
Mg2 0.5000 0.8243 0.3513
Ca1 0.0000 0.0000 0.0000
Mg3 0.0000 0.6589 0.6821
Tl3 0.7306 0.7485 0.0000
Mg4 0.0000 0.3411 0.3179
Tl4 0.2694 0.2515 0.0000
Tl5 0.2474 0.9155 0.6583
Mg5 0.5000 0.5000 0.0000
Tl6 0.2474 0.5738 0.3417

Properties
**Crystal system**: monoclinic
**SG**: No. 12

***

*B*
CaMg5Tl6: relaxed, PBE.

Cell lengths 5.2143, 7.4455, 8.2494 Å; angles 90.00, 107.49, 90.00 degrees
Fractional coordinates of all 12 atoms:
Mg1 0.0000 0.5000 0.0000
Mg2 0.3352 0.0000 0.6670
Mg3 0.3336 0.5000 0.6615
Tl1 0.1675 0.7447 0.3394
Tl2 0.5000 0.7324 0.0000
Tl3 0.8325 0.2553 0.6606
Mg4 0.6664 0.5000 0.3385
Mg5 0.6648 0.0000 0.3330
Tl4 0.8325 0.7447 0.6606
Tl5 0.5000 0.2676 0.0000
Ca1 0.0000 0.0000 0.0000
Tl6 0.1675 0.2553 0.3394

Properties
**Crystal system**: monoclinic
**SG**: No. 10

***

So which one is most stable? That would be *B*, about 28 meV/atom below the next structure.

***

*A*
CaMg2Tl2: relaxed, PBE.

Cell lengths 4.5387, 4.5387, 7.4170 Å; angles 72.18, 72.18, 90.00 degrees
Fractional coordinates of all 5 atoms:
Ca1 0.0000 0.0000 0.0000
Mg1 0.7500 0.2500 0.5000
Tl1 0.6100 0.6100 0.7799
Mg2 0.2500 0.7500 0.5000
Tl2 0.3900 0.3900 0.2201

Properties
**Crystal system**: tetragonal
**SG**: No. 139

***

*B*
CaMg2Tl2: relaxed, PBE.

Cell lengths 8.6682, 8.6682, 3.6124 Å; angles 90.00, 90.00, 90.00 degrees
Fractional coordinates of all 10 atoms:
Mg1 0.8545 0.3545 0.5000
Tl1 0.8493 0.6507 0.0000
Mg2 0.1455 0.6455 0.5000
Tl2 0.1507 0.3493 0.0000
Ca1 0.5000 0.5000 0.0000
Mg3 0.6455 0.8545 0.5000
Mg4 0.3545 0.1455 0.5000
Ca2 0.0000 0.0000 0.0000
Tl3 0.6507 0.1507 0.0000
Tl4 0.3493 0.8493 0.0000

Properties
**Crystal system**: tetragonal
**SG**: No. 127

***

So which one is most stable? That would be *A*, about 35 meV/atom below the next structure.